Computed, not measured: a geometry-optimized ZnIn2C structure at the GGA-PBE level of DFT.

Unit cell a=6.3579 b=6.3579 c=6.3579 alpha=121.80 beta=121.80 gamma=86.91
Last column: nearest neighbours and their distance in Å.
Positions (direct):
Zn 0.0000 0.0000 0.0000  4 In 2.80
Zn 0.7500 0.2500 0.5000  4 In 2.80
In 0.2039 0.6250 0.0789  2 C 2.20
In 0.3750 0.4539 0.5789  2 C 2.20
In 0.5461 0.1250 0.9211  2 C 2.20
In 0.8750 0.7961 0.4211  2 C 2.20
C 0.2500 0.7500 0.5000  4 In 2.20
C 0.5000 0.5000 0.0000  4 In 2.20

* V: 176.5 Å³/cell
* electronic total energy: -3.22 eV per atom
* energy relative to the elements: 0.77 eV per atom
* mass density: 5.78 Mg/m³
* energy relative to the lowest polymorph listed for this composition: 0.0 meV/atom